TaCuTcAs (PBE, optimized geometry); volume = 58.7 Å³ per cell; final energy = -30.32 eV for the cell shown; energy relative to the lowest polymorph listed for this composition = 0.0000 eV per atom
1.0
0.0000 3.0841 3.0841
3.0841 0.0000 3.0841
3.0841 3.0841 0.0000
Ta Cu Tc As
1 1 1 1
direct
0.0000 0.0000 0.0000
0.2500 0.2500 0.2500
0.5000 0.5000 0.5000
0.7500 0.7500 0.7500

LiAgPt2 (PBE, optimized geometry); volume = 62.3 Å³ per cell; final energy = -17.55 eV for the cell shown
1.0
0.0000 3.1469 3.1469
3.1469 0.0000 3.1469
3.1469 3.1469 0.0000
Li Ag Pt
1 1 2
direct
0.0000 0.0000 0.0000
0.2500 0.2500 0.2500
0.5000 0.5000 0.5000
0.7500 0.7500 0.7500

RbGdSO (PBE, optimized geometry); volume = 176.1 Å³ per cell; final energy = -46.61 eV for the cell shown; energy relative to the lowest polymorph listed for this composition = 0.1108 eV per atom
1.0
3.7707 0.0000 0.0000
-1.8854 3.2656 0.0000
0.0000 0.0000 14.3018
Rb Gd S O
2 2 2 2
direct
0.3333 0.6667 0.2799
0.6667 0.3333 0.7201
0.0000 0.0000 0.0000
0.0000 0.0000 0.5000
0.3333 0.6667 0.8865
0.6667 0.3333 0.1135
0.3333 0.6667 0.5758
0.6667 0.3333 0.4242

HfAsPdO (PBE, optimized geometry); volume = 131.1 Å³ per cell; final energy = -59.42 eV for the cell shown; energy relative to the lowest polymorph listed for this composition = 0.2041 eV per atom
1.0
4.7399 0.0000 0.0000
0.0000 4.8776 0.0000
0.0000 0.0000 5.6698
Hf As Pd O
2 2 2 2
direct
0.0000 0.2430 0.0000
0.0000 0.7570 0.5000
0.5000 0.4392 0.6960
0.5000 0.5608 0.1960
0.5000 0.0224 0.3991
0.5000 0.9776 0.8991
0.0000 0.1158 0.3256
0.0000 0.8842 0.8256

DyErPt2 (PBE, optimized geometry); energy relative to the elements = -1.302 eV per atom; volume = 174.1 Å³ per cell; final energy = -52.97 eV for the cell shown
1.0
4.4931 0.0000 0.0000
0.0000 6.9897 0.0000
0.0000 0.0000 5.5437
Dy Er Pt
2 2 4
direct
0.0000 0.0683 0.0000
0.5000 0.9317 0.5000
0.0000 0.5680 0.2171
0.5000 0.4320 0.7171
0.0000 0.2103 0.5151
0.0000 0.7023 0.7022
0.5000 0.2977 0.2022
0.5000 0.7897 0.0151

La3Cu2Si4Pt2 (PBE, optimized geometry); volume = 219.6 Å³ per cell; final energy = -65.10 eV for the cell shown
1.0
-2.1014 2.1477 12.1664
2.1014 -2.1477 12.1664
2.1014 2.1477 -12.1664
La Cu Si Pt
3 2 4 2
direct
0.0000 0.0000 0.0000
0.1464 0.6464 0.5000
0.8536 0.3536 0.5000
0.4033 0.9033 0.5000
0.5967 0.0967 0.5000
0.3042 0.8042 0.5000
0.4502 0.4502 0.0000
0.5498 0.5498 0.0000
0.6958 0.1958 0.5000
0.2484 0.2484 0.0000
0.7516 0.7516 0.0000

GdMgZn (PBE, optimized geometry); volume = 222.1 Å³ per cell; final energy = -20.79 eV for the cell shown
1.0
4.4343 0.0000 0.0000
-2.2172 3.8402 0.0000
0.0000 0.0000 13.0413
Gd Mg Zn
3 3 3
direct
0.0000 0.0000 0.0000
0.6667 0.3333 0.1768
0.6667 0.3333 0.8232
0.0000 0.0000 0.3046
0.0000 0.0000 0.6954
0.6667 0.3333 0.5000
0.0000 0.0000 0.5000
0.3333 0.6667 0.3862
0.3333 0.6667 0.6138

AlSbW (PBE, optimized geometry); volume = 61.0 Å³ per cell; final energy = -17.96 eV for the cell shown; energy relative to the lowest polymorph listed for this composition = 0.2785 eV per atom
1.0
0.0000 3.1248 3.1248
3.1248 0.0000 3.1248
3.1248 3.1248 0.0000
Al Sb W
1 1 1
direct
0.0000 0.0000 0.0000
0.7500 0.7500 0.7500
0.2500 0.2500 0.2500